*one*
Below is a geometry-optimized ZrSc2Ti structure, with properties calculated at the GGA-PBE level.

Unit cell a=11.0158 b=11.0158 c=11.0158 alpha=16.06 beta=16.06 gamma=16.06
Element x y z (fractional)
Sc (0.9068, 0.9068, 0.9068)
Sc (0.0932, 0.0932, 0.0932)
Zr (0.0000, 0.0000, 0.0000)
Ti (0.5000, 0.5000, 0.5000)

Calculated density, g/cm3: 4.27
Magnetization, Bohr magnetons per cell: 0.0


*two*
Below is a geometry-optimized ZrSc2Ti structure, with properties calculated at the GGA-PBE level.

Unit cell a=4.9895 b=4.9895 c=4.9895 alpha=60.00 beta=60.00 gamma=60.00
Site moments in Bohr magnetons follow the coordinates.
Element x y z (fractional)
Sc (0.2500, 0.2500, 0.2500)  0.16
Sc (0.7500, 0.7500, 0.7500)  0.16
Ti (0.0000, 0.0000, 0.0000)  -0.11
Zr (0.5000, 0.5000, 0.5000)  0.38

Calculated density, g/cm3: 4.33
Magnetization, Bohr magnetons per cell: 0.9


Most stable structure, least stable structure: *one*, *two*.


*one*
Below is a geometry-optimized Zr2ScTi structure, with properties calculated at the GGA-PBE level.

Unit cell a=3.1411 b=3.1411 c=10.4137 alpha=81.33 beta=81.33 gamma=60.00
Element x y z (fractional)
Ti (0.0000, 0.0000, 0.0000)
Zr (0.2544, 0.2544, 0.2367)
Zr (0.7456, 0.7456, 0.7633)
Sc (0.5000, 0.5000, 0.5000)

Calculated density, g/cm3: 5.22
Magnetization, Bohr magnetons per cell: 0.0


*two*
Below is a geometry-optimized Zr2ScTi structure, with properties calculated at the GGA-PBE level.

Unit cell a=4.4384 b=4.4695 c=5.3922 alpha=114.48 beta=114.30 gamma=90.00
Element x y z (fractional)
Sc (0.2500, 0.7500, 0.5000)
Zr (0.4986, 0.4986, 0.9972)
Zr (0.0014, 0.0014, 0.0028)
Ti (0.7500, 0.2500, 0.5000)

Calculated density, g/cm3: 5.26
Magnetization, Bohr magnetons per cell: 0.0


Most stable structure, least stable structure: *two*, *one*.


*one*
Below is a geometry-optimized Zr2ScTi structure, with properties calculated at the GGA-PBE level.

Unit cell a=3.0675 b=4.8892 c=11.6990 alpha=90.02 beta=90.00 gamma=90.00
Element x y z (fractional)
Zr (0.4227, 0.7504, 0.7084)
Zr (0.9220, 0.2504, 0.8271)
Zr (0.4220, 0.7496, 0.1729)
Zr (0.9227, 0.2496, 0.2916)
Ti (0.9215, 0.7501, 0.9517)
Ti (0.4215, 0.2499, 0.0483)
Sc (0.9240, 0.2500, 0.5666)
Sc (0.4240, 0.7500, 0.4334)

Calculated density, g/cm3: 5.21
Magnetization, Bohr magnetons per cell: 0.0


*two*
Below is a geometry-optimized Zr2ScTi structure, with properties calculated at the GGA-PBE level.

Unit cell a=4.9668 b=4.9668 c=4.9668 alpha=60.00 beta=60.00 gamma=60.00
Site moments in Bohr magnetons follow the coordinates.
Element x y z (fractional)
Zr (0.7500, 0.7500, 0.7500)  0.09
Zr (0.2500, 0.2500, 0.2500)  0.09
Sc (0.0000, 0.0000, 0.0000)  -0.11
Ti (0.5000, 0.5000, 0.5000)  0.89

Calculated density, g/cm3: 5.28
Magnetization, Bohr magnetons per cell: 1.3


*three*
Below is a geometry-optimized Zr2ScTi structure, with properties calculated at the GGA-PBE level.

Unit cell a=3.6357 b=3.6357 c=6.5844 alpha=90.00 beta=90.00 gamma=90.00
Element x y z (fractional)
Zr (0.0000, 0.0000, 0.7777)
Zr (0.0000, 0.0000, 0.2223)
Sc (0.5000, 0.5000, 0.5000)
Ti (0.5000, 0.5000, 0.0000)

Calculated density, g/cm3: 5.25
Magnetization, Bohr magnetons per cell: 0.0


Most stable structure, least stable structure: *one*, *two*.